Record 1
Ti5CuBi3: optimized geometry, GGA-PBE.

total moment = 0.00 μB per atom
formation enthalpy at 0 K = -0.169 eV per atom

Cell: 8.3897 8.3897 5.6248 Å, 90.00 90.00 120.00°
Fractional coordinates of all 18 atoms:
Cu 0.0000 0.0000 0.5000
Cu 0.0000 0.0000 0.0000
Ti 0.2638 0.2638 0.2500
Ti 0.6667 0.3333 0.0000
Ti 0.0000 0.7362 0.2500
Ti 0.3333 0.6667 0.5000
Ti 0.6667 0.3333 0.5000
Ti 0.7362 0.7362 0.7500
Ti 0.2638 0.0000 0.7500
Ti 0.7362 0.0000 0.2500
Ti 0.3333 0.6667 0.0000
Ti 0.0000 0.2638 0.7500
Bi 0.0000 0.3824 0.2500
Bi 0.6176 0.0000 0.7500
Bi 0.3824 0.0000 0.2500
Bi 0.3824 0.3824 0.7500
Bi 0.0000 0.6176 0.7500
Bi 0.6176 0.6176 0.2500

Record 2
TiCuBi: optimized geometry, GGA-PBE.

total moment = 0.22 μB per atom
formation enthalpy at 0 K = -0.053 eV per atom

Cell: 4.0563 3.1480 10.1131 Å, 90.07 90.00 90.00°
Last column: magnetic moment on the atom in μB.
Fractional coordinates of all 6 atoms:
Bi 0.7500 0.4987 0.6679  -0.01
Bi 0.2500 0.5013 0.3321  -0.01
Cu 0.2500 0.5003 0.0643  0.06
Cu 0.7500 0.4997 0.9357  0.06
Ti 0.7500 0.0006 0.1489  0.49
Ti 0.2500 0.9994 0.8511  0.49

Record 3
TiCuBi3: optimized geometry, GGA-PBE.

total moment = 0.00 μB per atom
formation enthalpy at 0 K = 0.692 eV per atom

Cell: 5.2082 5.2082 5.2082 Å, 90.00 90.00 90.00°
Fractional coordinates of all 5 atoms:
Bi 0.0000 0.0000 0.5000
Bi 0.5000 0.0000 0.0000
Bi 0.0000 0.5000 0.0000
Cu 0.0000 0.0000 0.0000
Ti 0.5000 0.5000 0.5000

Record 4
TiCuBi: optimized geometry, GGA-PBE.

total moment = 0.00 μB per atom
formation enthalpy at 0 K = 0.023 eV per atom

Cell: 6.1258 4.3128 9.7195 Å, 90.00 102.06 90.00°
Fractional coordinates of all 12 atoms:
Ti 0.1591 0.5000 0.1088
Ti 0.1591 0.0000 0.6088
Ti 0.8409 0.5000 0.8912
Ti 0.8409 0.0000 0.3912
Bi 0.3158 0.0000 0.3303
Bi 0.6842 0.0000 0.6697
Bi 0.3158 0.5000 0.8303
Bi 0.6842 0.5000 0.1697
Cu 0.9113 0.5000 0.5996
Cu 0.9113 0.0000 0.0996
Cu 0.0887 0.0000 0.9004
Cu 0.0887 0.5000 0.4004